(1)
The following is a DFT calculation (SCAN) of a crystal of TePtPbN2 relaxed with PBEsol.

## Properties
VASP energy = -38.509 eV/atom
Spin magnetization = 3.29 Bohr magnetons per cell
Space group = P4/mmm, No. 123
Fermi-level density of states = 0.4491 states/eV/atom
ΔE_f (raw) = 1.852 eV/atom

Cell: 4.1516 4.1516 6.2424 Å, 90.00 90.00 90.00°
Each line ends with the local moment (μB).
Sites, in units of the cell vectors:
Pb 0.0000 0.0000 0.0000  -0.10
Te 0.0000 0.0000 0.5000  0.17
Pt 0.5000 0.5000 0.5000  0.28
N 0.0000 0.5000 0.0000  1.03
N 0.5000 0.0000 0.0000  1.03

(2)
The following is a DFT calculation (SCAN) of a crystal of SiAg2S3 relaxed with PBEsol.

## Properties
VASP energy = -17.387 eV/atom
Spin magnetization = 0.00 Bohr magnetons per cell
Space group = P2_1/c, No. 14
Fermi-level density of states = 0.0000 states/eV/atom
ΔE_f (raw) = -0.448 eV/atom

Cell: 6.5306 6.4794 11.5568 Å, 87.71 90.00 90.00°
Sites, in units of the cell vectors:
Si 0.8439 0.1576 0.9996
Si 0.3439 0.3424 0.5004
Si 0.1561 0.8424 0.0004
Si 0.6561 0.6576 0.4996
Ag 0.4639 0.0001 0.7553
Ag 0.9639 0.4999 0.7447
Ag 0.5361 0.9999 0.2447
Ag 0.0361 0.5001 0.2553
Ag 0.6133 0.6211 0.8929
Ag 0.1133 0.8789 0.6071
Ag 0.3867 0.3789 0.1071
Ag 0.8867 0.1211 0.3929
S 0.6978 0.2604 0.8460
S 0.1978 0.2396 0.6540
S 0.3022 0.7396 0.1540
S 0.8022 0.7604 0.3460
S 0.1751 0.1772 0.9752
S 0.6751 0.3228 0.5248
S 0.8249 0.8228 0.0248
S 0.3249 0.6772 0.4752
S 0.7510 0.2998 0.1520
S 0.2510 0.2002 0.3480
S 0.2490 0.7002 0.8480
S 0.7490 0.7998 0.6520